Record 1
Compound: TbDySc2
Source: Alexandria
Functional: PBE
Structure: relaxed

Summary:
Energy relative to the elements (eV/atom): 0.050
V (Å³ per cell): 111.52
Density of states at the Fermi level (states/eV/cell): 6.9
Total energy (eV per atom): -5.42
Space-group type: P4/mmm, No. 123

Unit cell a=4.8894 b=4.8894 c=4.6648 alpha=90.00 beta=90.00 gamma=90.00
With the nearest neighbours (Å) after each atom.
Fractional coordinates of all 4 atoms:
Tb  0.0000  0.0000  0.0000  8 Sc 3.38, 4 Dy 3.46
Dy  0.5000  0.5000  0.0000  8 Sc 3.38, 4 Tb 3.46
Sc  0.0000  0.5000  0.5000  4 Tb 3.38, 4 Dy 3.38, 4 Sc 3.46
Sc  0.5000  0.0000  0.5000  4 Tb 3.38, 4 Dy 3.38, 4 Sc 3.46



Record 2
Compound: TbDy8Sc3
Source: Alexandria
Functional: PBE
Structure: relaxed

Summary:
Energy relative to the elements (eV/atom): 0.042
V (Å³ per cell): 355.39
Density of states at the Fermi level (states/eV/cell): 17.9
Total energy (eV per atom): -4.99
Space-group type: P1, No. 1

Unit cell a=6.0081 b=7.7616 c=8.5163 alpha=111.40 beta=90.03 gamma=104.89
With the nearest neighbours (Å) after each atom.
Fractional coordinates of all 12 atoms:
Tb  0.0000  0.0000  0.0000  4 Sc 3.41-3.49, 8 Dy 3.42-3.56
Dy  0.1653  0.5126  0.1714  3 Sc 3.40-3.45, 8 Dy 3.46-3.52, 1 Tb 3.56
Dy  0.2462  0.2528  0.7499  3 Sc 3.45-3.50, 8 Dy 3.45-3.52, 1 Tb 3.48
Dy  0.4959  0.5071  0.5052  8 Dy 3.43-3.50, 4 Sc 3.44-3.50
Dy  0.5790  0.2505  0.0868  2 Sc 3.43-3.46, 8 Dy 3.45-3.53, 2 Tb 3.45-3.49
Dy  0.6572  0.0004  0.6680  4 Sc 3.41-3.49, 7 Dy 3.43-3.53, 1 Tb 3.50
Dy  0.7470  0.7588  0.2543  4 Sc 3.45-3.48, 7 Dy 3.45-3.53, 1 Tb 3.47
Dy  0.8322  0.5083  0.8351  1 Tb 3.42, 3 Sc 3.45-3.48, 8 Dy 3.46-3.53
Dy  0.9124  0.2559  0.4192  8 Dy 3.45-3.50, 3 Sc 3.48, 1 Tb 3.51
Sc  0.0835  0.7562  0.5854  9 Dy 3.41-3.49, 2 Sc 3.44-3.46, 1 Tb 3.45
Sc  0.3285  0.0028  0.3360  9 Dy 3.40-3.50, 2 Sc 3.44-3.46, 1 Tb 3.47
Sc  0.4113  0.7564  0.9199  2 Tb 3.41-3.49, 8 Dy 3.43-3.50, 2 Sc 3.46



Record 3
Compound: TbDy12Sc6
Source: Alexandria
Functional: PBE
Structure: relaxed

Summary:
Energy relative to the elements (eV/atom): 0.435
V (Å³ per cell): 604.12
Density of states at the Fermi level (states/eV/cell): 27.2
Total energy (eV per atom): -4.71
Space-group type: R-3m, No. 166

Unit cell a=9.0380 b=9.0380 c=9.0380 alpha=107.62 beta=107.62 gamma=107.62
With the nearest neighbours (Å) after each atom.
Fractional coordinates of all 19 atoms:
Tb  0.0000  0.0000  0.0000  6 Dy 3.49
Dy  0.1120  0.5000  0.8880  4 Sc 3.20-3.31, 5 Dy 3.27-3.56
Dy  0.1120  0.8880  0.5000  4 Sc 3.20-3.31, 5 Dy 3.27-3.56
Dy  0.1491  0.3731  0.3731  1 Sc 2.95, 2 Dy 3.27
Dy  0.3731  0.1491  0.3731  1 Sc 2.95, 2 Dy 3.27
Dy  0.3731  0.3731  0.1491  1 Sc 2.95, 2 Dy 3.27
Dy  0.5000  0.1120  0.8880  4 Sc 3.20-3.31, 5 Dy 3.27-3.56
Dy  0.5000  0.8880  0.1120  4 Sc 3.20-3.31, 5 Dy 3.27-3.56
Dy  0.6269  0.6269  0.8509  1 Sc 2.95, 2 Dy 3.27
Dy  0.6269  0.8509  0.6269  1 Sc 2.95, 2 Dy 3.27
Dy  0.8509  0.6269  0.6269  1 Sc 2.95, 2 Dy 3.27
Dy  0.8880  0.1120  0.5000  4 Sc 3.20-3.31, 5 Dy 3.27-3.56
Dy  0.8880  0.5000  0.1120  4 Sc 3.20-3.31, 5 Dy 3.27-3.56
Sc  0.2738  0.6884  0.6884  3 Dy 2.95-3.20
Sc  0.3116  0.3116  0.7262  3 Dy 2.95-3.20
Sc  0.3116  0.7262  0.3116  3 Dy 2.95-3.20
Sc  0.6884  0.2738  0.6884  3 Dy 2.95-3.20
Sc  0.6884  0.6884  0.2738  3 Dy 2.95-3.20
Sc  0.7262  0.3116  0.3116  3 Dy 2.95-3.20



- Among the records above, which one has the lowest total energy?
  TbDySc2



- The lowest total energy belongs to which entry?
  TbDySc2



Copy entry 1 word for word.
Compound: TbDySc2
Source: Alexandria
Functional: PBE
Structure: relaxed

Summary:
Energy relative to the elements (eV/atom): 0.050
V (Å³ per cell): 111.52
Density of states at the Fermi level (states/eV/cell): 6.9
Total energy (eV per atom): -5.42
Space-group type: P4/mmm, No. 123

Unit cell a=4.8894 b=4.8894 c=4.6648 alpha=90.00 beta=90.00 gamma=90.00
With the nearest neighbours (Å) after each atom.
Fractional coordinates of all 4 atoms:
Tb  0.0000  0.0000  0.0000  8 Sc 3.38, 4 Dy 3.46
Dy  0.5000  0.5000  0.0000  8 Sc 3.38, 4 Tb 3.46
Sc  0.0000  0.5000  0.5000  4 Tb 3.38, 4 Dy 3.38, 4 Sc 3.46
Sc  0.5000  0.0000  0.5000  4 Tb 3.38, 4 Dy 3.38, 4 Sc 3.46